Density functional theory data (PBE-GGA) for a relaxed Cs7K3As crystal.

Space-group type ... No. 8
Spin magnetization ... 0.000 μB/atom
ΔE_f ... -7.73 kJ per mole of atoms

a = 9.302 Å, b = 9.302 Å, c = 13.676 Å
α = 69.55°, β = 69.55°, γ = 100.93°
Element x y z (fractional)
Cs1 0.239 0.239 0.073
Cs2 0.085 0.692 0.236
Cs3 0.292 0.961 0.828
Cs4 0.692 0.085 0.236
Cs5 0.546 0.546 0.330
Cs6 0.961 0.292 0.828
Cs7 0.741 0.741 0.942
K1 0.170 0.854 0.534
K2 0.610 0.610 0.645
K3 0.854 0.170 0.534
As1 0.935 0.935 0.065